Entry 1:
VASP calculation (PBE) on crystalline ScTlTeBr2 at its relaxed geometry.

Geometry as extended XYZ:
```
5
Lattice="5.349 0.000 0.000 0.000 5.349 0.000 0.000 0.000 5.728" Properties=species:S:1:pos:R:3 pbc="T T T"
Sc 0.000 0.000 0.000
Tl 2.675 2.675 2.864
Te 0.000 0.000 2.864
Br 0.000 2.675 0.000
Br 2.675 0.000 0.000
```

Energy ... -4.1336 eV/atom
Formation energy (no corrections) ... -1.0966 eV per atom
Density ... 5.4 g/cm3



Entry 2:
VASP calculation (PBE) on crystalline ThScBr at its relaxed geometry.

Geometry as extended XYZ:
```
6
Lattice="5.719 -0.196 0.113 -2.666 5.352 -0.501 -0.175 -2.283 5.550" Properties=species:S:1:pos:R:3 pbc="T T T"
Br 0.127 3.584 0.037
Br 2.751 -0.712 5.125
Th 2.848 0.674 2.487
Th 0.030 2.199 2.675
Sc -0.121 -1.206 4.287
Sc 2.999 4.078 0.875
```

Energy ... -5.6055 eV/atom
Formation energy (no corrections) ... -0.4641 eV per atom
Density ... 7.4 g/cm3



Computed total moment (μB/cell) in order:
0.00 0.00